The following is a DFT calculation (PBE-GGA) of a relaxed LiMg4Pd15 crystal.

Properties
- total magnetic moment (μB/f.u.) = 0.0
- total energy (eV per formula unit) = -94.82
- energy of formation from the pure elements (kJ per mole of atoms) = -41.6

Cell lengths 3.9561, 3.9561, 19.7416 Å; angles 90.00, 90.00, 90.00 degrees
Space group P4/mmm (No. 123)
Symmetry-distinct sites (fractional):
Li  0.0000  0.0000  0.0000 [1 per cell]
Mg  0.0000  0.0000  0.1972 [2 per cell]
Mg  0.0000  0.0000  0.3992 [2 per cell]
Pd  0.0000  0.5000  0.0967 [4 per cell]
Pd  0.0000  0.5000  0.2981 [4 per cell]
Pd  0.0000  0.5000  0.5000 [2 per cell]
Pd  0.5000  0.5000  0.0000 [1 per cell]
Pd  0.5000  0.5000  0.1970 [2 per cell]
Pd  0.5000  0.5000  0.3989 [2 per cell]